Compound: NdCoGeN
Source: Alexandria
Functional: PBE
Structure: optimized geometry

Output
Symmetry: No. 129
Total DFT energy (no corrections), eV per atom: -6.979
Formation energy without anion corrections, eV/atom: -0.775

Geometry as POSCAR:
```
NdCoGeN
1.0
3.809 0.000 0.000
0.000 3.809 0.000
0.000 0.000 8.584
Nd Co Ge N
2 2 2 2
direct
0.250 0.250 0.154 Nd
0.750 0.750 0.846 Nd
0.250 0.750 0.500 Co
0.750 0.250 0.500 Co
0.250 0.250 0.651 Ge
0.750 0.750 0.349 Ge
0.250 0.250 0.876 N
0.750 0.750 0.124 N
```